# BaSr3

A PBEsol-optimized structure of BaSr3 (meta-GGA SCAN, Alexandria).

Results
* DFT formation energy: 2 kJ/mol of atoms

Cell: 4.2102 6.9491 7.3100 Å, 90.00 90.00 90.00°
Sites, in units of the cell vectors:
1 Ba 0.0000 0.0000 0.0000
2 Sr 0.0000 0.5000 0.3337
3 Sr 0.5000 0.0000 0.4994
4 Sr 0.5000 0.5000 0.8324

# BaSr3

A PBEsol-optimized structure of BaSr3 (meta-GGA SCAN, Alexandria).

Results
* DFT formation energy: 2 kJ/mol of atoms

Cell: 4.2105 4.2105 13.8917 Å, 90.00 90.00 120.00°
Sites, in units of the cell vectors:
1 Ba 0.0000 0.0000 0.0000
2 Sr 0.0000 0.0000 0.5000
3 Sr 0.3333 0.6667 0.2533
4 Sr 0.3333 0.6667 0.7467

# BaSr3

A PBEsol-optimized structure of BaSr3 (meta-GGA SCAN, Alexandria).

Results
* DFT formation energy: 1 kJ/mol of atoms

Cell: 4.0817 6.6850 7.8116 Å, 90.00 99.80 90.00°
Sites, in units of the cell vectors:
1 Ba 0.0000 0.0000 0.0000
2 Sr 0.2505 0.5000 0.7492
3 Sr 0.5000 0.0000 0.5000
4 Sr 0.7495 0.5000 0.2508

# Ba2Sr

A PBEsol-optimized structure of Ba2Sr (meta-GGA SCAN, Alexandria).

Results
* DFT formation energy: 3 kJ/mol of atoms

Cell: 8.5849 6.1677 12.8780 Å, 90.00 90.00 90.00°
Sites, in units of the cell vectors:
1 Ba 0.1243 0.2500 0.2495
2 Ba 0.1268 0.2500 0.5836
3 Ba 0.3732 0.7500 0.0836
4 Ba 0.3757 0.7500 0.7495
5 Ba 0.6243 0.2500 0.2505
6 Ba 0.6268 0.2500 0.9164
7 Ba 0.8732 0.7500 0.4164
8 Ba 0.8757 0.7500 0.7505
9 Sr 0.1248 0.2500 0.9177
10 Sr 0.3752 0.7500 0.4177
11 Sr 0.6248 0.2500 0.5823
12 Sr 0.8752 0.7500 0.0823

# Ba7Sr

A PBEsol-optimized structure of Ba7Sr (meta-GGA SCAN, Alexandria).

Results
* DFT formation energy: 3 kJ/mol of atoms

Cell: 8.6952 8.6952 8.6952 Å, 60.00 60.00 60.00°
Sites, in units of the cell vectors:
1 Ba 0.0000 0.0000 0.0000
2 Ba 0.0000 0.0000 0.5000
3 Ba 0.0000 0.5000 0.0000
4 Ba 0.0000 0.5000 0.5000
5 Ba 0.5000 0.0000 0.0000
6 Ba 0.5000 0.0000 0.5000
7 Ba 0.5000 0.5000 0.0000
8 Sr 0.5000 0.5000 0.5000

# Ba3Sr

A PBEsol-optimized structure of Ba3Sr (meta-GGA SCAN, Alexandria).

Results
* DFT formation energy: 3 kJ/mol of atoms

Cell: 8.6137 8.6137 7.0864 Å, 90.00 90.00 120.00°
Sites, in units of the cell vectors:
1 Ba 0.1667 0.3334 0.2500
2 Ba 0.1667 0.8333 0.2500
3 Ba 0.3334 0.1667 0.7500
4 Ba 0.6666 0.8333 0.2500
5 Ba 0.8333 0.1667 0.7500
6 Ba 0.8333 0.6666 0.7500
7 Sr 0.3333 0.6667 0.7500
8 Sr 0.6667 0.3333 0.2500

# BaSr4

A PBEsol-optimized structure of BaSr4 (meta-GGA SCAN, Alexandria).

Results
* DFT formation energy: 1 kJ/mol of atoms

Cell: 17.4091 17.4091 17.4091 Å, 13.91 13.91 13.91°
Sites, in units of the cell vectors:
1 Ba 0.0000 0.0000 0.0000
2 Sr 0.1995 0.1995 0.1995
3 Sr 0.4014 0.4014 0.4014
4 Sr 0.5986 0.5986 0.5986
5 Sr 0.8005 0.8005 0.8005

# Ba4Sr5

A PBEsol-optimized structure of Ba4Sr5 (meta-GGA SCAN, Alexandria).

Results
* DFT formation energy: 5 kJ/mol of atoms

Cell: 11.8505 11.8505 8.0754 Å, 90.00 90.00 120.00°
Sites, in units of the cell vectors:
1 Ba 0.0000 0.0000 0.0000
2 Ba 0.0000 0.0000 0.5000
3 Ba 0.0000 0.3276 0.2500
4 Ba 0.0000 0.6724 0.7500
5 Ba 0.3276 0.0000 0.2500
6 Ba 0.3276 0.3276 0.7500
7 Ba 0.6724 0.0000 0.7500
8 Ba 0.6724 0.6724 0.2500
9 Sr 0.0000 0.3407 0.7500
10 Sr 0.0000 0.6593 0.2500
11 Sr 0.3333 0.6667 0.0000
12 Sr 0.3333 0.6667 0.5000
13 Sr 0.3407 0.0000 0.7500
14 Sr 0.3407 0.3407 0.2500
15 Sr 0.6593 0.0000 0.2500
16 Sr 0.6593 0.6593 0.7500
17 Sr 0.6667 0.3333 0.0000
18 Sr 0.6667 0.3333 0.5000